## YMg4W (GGA-PBEsol)

Data for YMg4W after structural relaxation.

Lattice parameters (Å, degrees): 5.6028 5.6028 5.6028 60.00 60.00 60.00
Sites, in units of the cell vectors:
Mg1 0.3764 0.3764 0.3764
Mg2 0.3764 0.3764 0.8709
Mg3 0.8709 0.3764 0.3764
Mg4 0.3764 0.8709 0.3764
W1 0.7500 0.7500 0.7500
Y1 0.0000 0.0000 0.0000

## Properties
Energy of formation (eV per atom): 0.473
Total energy (eV/atom): -4.1097